CaCrIr2 meta-GGA SCAN PBEsol geometry; magnetization = 0.7493 μB/atom; raw total energy = -42.438 eV per atom; D(E_F) = 0.686 states/eV per atom; calculated formation energy = 0.50 eV per formula unit
1.0
-1.9691 1.9691 4.0988
1.9691 -1.9691 4.0988
1.9691 1.9691 -4.0988
Ca Cr Ir
1 1 2
direct
0.0000 0.0000 0.0000
0.7500 0.2500 0.5000
0.2500 0.7500 0.5000
0.5000 0.5000 0.0000

***

TaFe4Mo meta-GGA SCAN PBEsol geometry; magnetization = 1.1037 μB/atom; raw total energy = -28.979 eV per atom; D(E_F) = 1.275 states/eV per atom; calculated formation energy = 0.11 eV per formula unit
1.0
0.0000 3.3080 3.3080
3.3080 0.0000 3.3080
3.3080 3.3080 0.0000
Ta Fe Mo
1 4 1
direct
0.0000 0.0000 0.0000
0.3746 0.3746 0.3746
0.3746 0.3746 0.8760
0.3746 0.8760 0.3746
0.8760 0.3746 0.3746
0.7500 0.7500 0.7500

***

MgSc meta-GGA SCAN PBEsol geometry; magnetization = 0.2647 μB/atom; raw total energy = -9.609 eV per atom; D(E_F) = 0.843 states/eV per atom; calculated formation energy = -0.01 eV per formula unit
1.0
3.2016 0.0000 0.0000
-1.6008 2.7727 0.0000
0.0000 0.0000 10.5065
Mg Sc
2 2
direct
0.3333 0.6667 0.1255
0.6667 0.3333 0.8745
0.3333 0.6667 0.6207
0.6667 0.3333 0.3793

***

RbIn2Ge2 meta-GGA SCAN PBEsol geometry; magnetization = 0.0000 μB/atom; raw total energy = -25.256 eV per atom; D(E_F) = 0.299 states/eV per atom; calculated formation energy = -0.59 eV per formula unit
1.0
-2.4115 2.4115 5.7385
2.4115 -2.4115 5.7385
2.4115 2.4115 -5.7385
Rb In Ge
1 2 2
direct
0.0000 0.0000 0.0000
0.3750 0.3750 0.0000
0.6250 0.6250 0.0000
0.2500 0.7500 0.5000
0.7500 0.2500 0.5000

***

CrTc8 meta-GGA SCAN PBEsol geometry; magnetization = 0.0004 μB/atom; raw total energy = -33.110 eV per atom; D(E_F) = 0.888 states/eV per atom; calculated formation energy = 0.87 eV per formula unit
1.0
-4.0341 4.0341 1.9012
4.0341 -4.0341 1.9012
4.0341 4.0341 -1.9012
Cr Tc
1 8
direct
0.0000 0.0000 0.0000
0.0000 0.3302 0.3302
0.0000 0.6698 0.6698
0.3302 0.0000 0.3302
0.3358 0.3358 0.6716
0.3358 0.6642 0.0000
0.6642 0.3358 0.0000
0.6642 0.6642 0.3284
0.6698 0.0000 0.6698

***

YZrSi2 meta-GGA SCAN PBEsol geometry; magnetization = 0.0000 μB/atom; formation energy without anion corrections = -866 meV/atom; raw total energy = -20.510 eV per atom; D(E_F) = 0.381 states/eV per atom
1.0
3.7831 0.0000 0.0000
0.0000 1.9710 5.0895
0.0000 -1.9710 5.0895
Y Zr Si
1 1 2
direct
0.0000 0.0000 0.0000
0.5000 0.2831 0.2831
0.0000 0.7246 0.7246
0.5000 0.5687 0.5687

***

CaGaBi2 meta-GGA SCAN PBEsol geometry; magnetization = 0.0000 μB/atom; raw total energy = -46.080 eV per atom; D(E_F) = 0.724 states/eV per atom; calculated formation energy = -1.15 eV per formula unit
1.0
-4.1667 4.1667 3.3035
4.1667 -4.1667 3.3035
4.1667 4.1667 -3.3035
Ca Ga Bi
2 2 4
direct
0.0000 0.0000 0.0000
0.7500 0.2500 0.5000
0.2500 0.7500 0.5000
0.5000 0.5000 0.0000
0.1636 0.6250 0.0386
0.3750 0.4136 0.5386
0.5864 0.1250 0.9614
0.8750 0.8364 0.4614

***

InCuBi2P meta-GGA SCAN PBEsol geometry; magnetization = 0.0000 μB/atom; raw total energy = -42.128 eV per atom; D(E_F) = 0.683 states/eV per atom; calculated formation energy = 5.50 eV per formula unit
1.0
5.6149 0.0000 0.0000
0.0000 5.6149 0.0000
0.0000 0.0000 4.6471
In Cu Bi P
1 1 2 1
direct
0.0000 0.0000 0.0000
0.0000 0.0000 0.5000
0.0000 0.5000 0.0000
0.5000 0.0000 0.0000
0.5000 0.5000 0.5000